Record 1
A plane-wave DFT calculation with PBE was carried out for a relaxed Pr5Nd4Tm2 crystal. Values from VASP.

Results
- polymorph energy (0 for the lowest one) (meV per atom) = 0
- formation energy (meV per atom) = 158

```
&SYSTEM
  ibrav = 0, nat = 11, ntyp = 3
/
ATOMIC_SPECIES
Tm 168.93 Tm.upf
Nd 144.24 Nd.upf
Pr 140.91 Pr.upf
CELL_PARAMETERS angstrom
-3.008 0.975 1.530
2.729 -6.973 9.806
5.802 6.111 3.480
ATOMIC_POSITIONS crystal
Tm 0.093 0.461 0.187
Tm 0.907 0.539 0.813
Nd 0.716 0.633 0.432
Nd 0.284 0.367 0.568
Nd 0.955 0.271 0.911
Nd 0.045 0.729 0.089
Pr 0.136 0.184 0.271
Pr 0.810 0.095 0.621
Pr 0.190 0.905 0.379
Pr 0.864 0.816 0.729
Pr 0.500 0.000 0.000
```

Record 2
A plane-wave DFT calculation with PBE was carried out for a relaxed Sm3P crystal. Values from VASP.

Results
- formation energy (meV per atom) = -589

```
&SYSTEM
  ibrav = 0, nat = 4, ntyp = 2
/
ATOMIC_SPECIES
Sm 150.36 Sm.upf
P 30.97 P.upf
CELL_PARAMETERS angstrom
-2.285 -2.862 -0.978
4.471 -4.180 1.788
-2.882 3.465 3.938
ATOMIC_POSITIONS crystal
Sm 0.500 0.398 0.000
Sm 0.311 0.659 0.622
Sm 0.689 0.036 0.378
P 0.000 0.074 0.000
```